Density functional theory data (PBE-GGA) for crystalline Hg2SbRu at its relaxed geometry.

abc: 3.2923 3.2923 29.4646
angles: 90.00 90.00 120.00
Space group R3m (No. 160, hexagonal axes)
Unique sites:
Hg 0.0000 0.0000 0.0000
Hg 0.0000 0.0000 0.2376
Sb 0.0000 0.0000 0.4684
Ru 0.0000 0.0000 0.7410

**Formation energy without anion corrections**: 0.1663 eV per atom
**Total energy**: -3.334 eV per atom
**V**: 277 Å³/cell